a:
14
Lattice="-8.443 4.999 -0.697 -6.617 -2.453 -6.853 -8.467 -4.255 2.639" Properties=species:S:1:pos:R:3 comment="GGA-PBE BaMg3Tl3, relaxed" magmom_total_mub_per_fu=0.000 spacegroup="Fm-3m, No. 225" density_g_cm3=4.1 volume_a3_per_atom=48.07 pbc="T T T"
Ba -5.882 -0.427 -1.228
Ba -17.645 -1.282 -3.684
Tl -10.135 -1.360 -3.847
Tl -10.713 0.998 -1.899
Tl -12.814 -2.707 -3.012
Tl -10.720 -1.931 -0.844
Tl -13.392 -0.349 -1.064
Tl -12.807 0.222 -4.068
Mg -15.364 0.264 0.621
Mg -14.087 -4.950 -3.686
Mg -9.440 3.241 -1.225
Mg -8.163 -1.973 -5.532
Mg -14.070 1.525 -6.020
Mg -9.457 -3.234 1.109

b:
14
Lattice="-6.731 -2.030 -3.775 3.555 -6.572 -2.804 -2.396 -4.047 6.447" Properties=species:S:1:pos:R:3 comment="GGA-PBE BaMg3Tl3, relaxed" magmom_total_mub_per_fu=0.000 spacegroup="Pm-3n, No. 223" density_g_cm3=5.4 volume_a3_per_atom=36.30 pbc="T T T"
Tl -2.881 -2.531 2.280
Tl -2.477 -2.658 -2.589
Tl -0.019 -6.321 3.434
Tl -6.246 -3.546 0.392
Tl -0.699 -5.944 -3.990
Tl 1.178 -4.297 0.210
Mg -3.271 -4.808 -4.233
Mg -3.964 -2.027 -0.276
Mg 1.468 -6.952 1.121
Mg -0.309 -3.666 2.523
Mg -5.162 -4.050 2.948
Mg 0.095 -3.793 -2.346
Ba -2.786 -6.324 -0.066
Ba 0.000 0.000 0.000

Tell me which of them is the most stable. Sure, it is b.

a:
18
Lattice="-6.349 -7.590 3.244 8.116 0.662 6.491 -5.185 9.030 -0.125" Properties=species:S:1:pos:R:3 comment="GGA-PBE Ba6Mg2Tl, relaxed" magmom_total_mub_per_fu=0.000 spacegroup="Immm, No. 71" density_g_cm3=4.1 volume_a3_per_atom=48.29 pbc="T T T"
Ba 1.446 1.307 4.743
Ba -1.549 -1.516 3.020
Ba -4.864 0.794 4.866
Ba -2.736 7.015 1.814
Ba -0.682 -4.914 7.795
Ba -3.367 -5.400 4.261
Ba -1.869 3.617 6.589
Ba -5.864 -2.515 2.692
Ba -0.051 7.501 5.348
Ba -1.488 2.748 2.226
Ba -1.930 -0.647 7.383
Ba 2.446 4.616 6.917
Mg -7.296 0.911 1.973
Mg 1.254 -2.240 5.672
Mg -4.238 0.529 1.146
Mg -4.672 4.341 3.938
Tl 0.000 0.000 0.000
Tl 1.465 4.846 3.183

b:
9
Lattice="-3.323 -2.364 4.657 -7.385 -2.696 -2.525 1.965 -9.557 0.664" Properties=species:S:1:pos:R:3 comment="GGA-PBE Ba6Mg2Tl, relaxed" magmom_total_mub_per_fu=0.000 spacegroup="Fmmm, No. 69" density_g_cm3=4.1 volume_a3_per_atom=48.85 pbc="T T T"
Mg -3.119 -10.202 0.823
Mg -5.625 -4.415 1.973
Ba -6.411 -11.633 1.861
Ba -5.886 -7.709 0.114
Ba -2.332 -2.984 0.935
Ba -3.291 -10.808 4.506
Ba -5.452 -3.809 -1.711
Ba -2.858 -6.908 2.682
Tl -2.710 -6.127 -0.930

Tell me which of them is the most stable. Sure, it is b.

a:
11
Lattice="-6.043 -0.425 -0.154 0.689 -10.257 1.266 2.395 6.346 7.727" Properties=species:S:1:pos:R:3 comment="GGA-PBE Ba8MgTl2, relaxed" magmom_total_mub_per_fu=0.004 spacegroup="Immm, No. 71" density_g_cm3=4.9 volume_a3_per_atom=47.64 pbc="T T T"
Ba -0.047 -1.480 5.934
Ba 0.228 -3.389 0.419
Ba -0.077 0.275 2.264
Ba -0.339 2.855 5.400
Ba -2.621 -7.190 3.439
Ba -2.882 -4.610 6.574
Ba -3.187 -0.946 8.420
Ba -2.912 -2.855 2.904
Tl 0.230 -4.722 3.977
Tl -3.190 0.387 4.862
Mg -3.022 -0.212 -0.077

b:
11
Lattice="-4.599 -0.478 3.990 5.375 -3.434 5.783 2.213 10.970 -0.808" Properties=species:S:1:pos:R:3 comment="GGA-PBE Ba8MgTl2, relaxed" magmom_total_mub_per_fu=0.011 spacegroup="C2/m, No. 12" density_g_cm3=4.7 volume_a3_per_atom=48.76 pbc="T T T"
Ba 0.130 0.332 4.863
Ba 4.204 -1.995 4.606
Ba 0.151 6.971 1.009
Ba 1.597 3.215 2.226
Ba 1.392 3.842 6.739
Ba -1.215 9.053 4.359
Ba 2.838 0.087 7.956
Ba 2.859 6.726 4.102
Mg -2.299 -0.239 1.995
Tl 3.733 1.559 4.489
Tl -0.744 5.498 4.476

Tell me which of them is the most stable. Sure, it is b.

a:
19
Lattice="-6.141 -3.948 -4.717 6.947 0.605 -5.189 2.189 -5.645 6.236" Properties=species:S:1:pos:R:3 comment="GGA-PBE BaMg6Tl12, relaxed" magmom_total_mub_per_fu=0.000 spacegroup="R-3m, No. 166" density_g_cm3=8.1 volume_a3_per_atom=29.67 pbc="T T T"
Mg -0.781 -6.658 -0.437
Mg 4.711 -4.748 -0.635
Mg 3.776 -2.330 -3.233
Mg 1.779 -4.953 1.562
Mg 1.215 -4.035 -5.232
Mg -1.716 -4.240 -3.034
Tl 2.368 -6.875 -0.668
Tl -1.707 -3.841 -6.048
Tl 0.282 -6.450 -3.411
Tl -0.333 -6.898 2.560
Tl 6.532 -2.743 -2.017
Tl -0.564 -3.678 -0.141
Tl 0.627 -2.113 -3.001
Tl 4.702 -5.147 2.378
Tl 2.713 -2.538 -0.259
Tl -3.537 -6.245 -1.653
Tl 3.559 -5.310 -3.529
Tl 3.327 -2.090 -6.230
Ba 0.000 0.000 0.000

b:
19
Lattice="-2.910 -7.256 2.486 8.229 1.055 3.688 -0.443 0.192 9.066" Properties=species:S:1:pos:R:3 comment="GGA-PBE BaMg6Tl12, relaxed" magmom_total_mub_per_fu=0.000 spacegroup="R-3, No. 148" density_g_cm3=8.5 volume_a3_per_atom=28.03 pbc="T T T"
Tl -0.335 -5.281 10.903
Tl -0.162 -1.179 5.720
Tl 4.850 -3.719 12.508
Tl 2.729 -0.400 2.355
Tl 5.210 -0.727 4.338
Tl 5.037 -4.830 9.520
Tl 2.673 -1.316 7.985
Tl -0.477 -3.283 8.270
Tl 0.025 -2.290 2.733
Tl 2.146 -5.608 12.886
Tl 5.352 -2.726 6.971
Tl 2.202 -4.693 7.256
Mg 2.246 -3.334 10.396
Mg -0.549 -6.534 7.906
Mg 5.424 0.526 7.334
Mg 2.629 -2.675 4.845
Mg 5.168 -1.511 10.113
Mg -0.292 -4.498 5.127
Ba 0.000 0.000 0.000

Tell me which of them is the most stable. Sure, it is b.

a:
7
Lattice="6.546 0.000 0.000 0.000 6.546 0.000 3.273 3.273 8.615" Properties=species:S:1:pos:R:3 comment="GGA-PBE Ba4MgTl2, relaxed" magmom_total_mub_per_fu=0.000 spacegroup="I4/mmm, No. 139" density_g_cm3=4.4 volume_a3_per_atom=52.74 pbc="T T T"
Mg 0.000 0.000 0.000
Ba 3.273 0.000 0.000
Ba 0.000 3.273 0.000
Ba 6.546 6.546 3.510
Ba 3.273 3.273 5.105
Tl 3.273 3.273 1.686
Tl 6.546 6.546 6.929

b:
14
Lattice="-10.049 3.006 6.205 -2.450 -6.131 -6.913 7.200 -0.964 6.213" Properties=species:S:1:pos:R:3 comment="GGA-PBE Ba4MgTl2, relaxed" magmom_total_mub_per_fu=0.000 spacegroup="P1, No. 1" density_g_cm3=5.1 volume_a3_per_atom=45.32 pbc="T T T"
Mg 0.795 -3.770 -0.333
Mg 5.507 -1.258 6.080
Ba -3.048 -3.726 -0.523
Ba 1.790 -1.167 6.033
Ba -3.195 0.398 9.090
Ba -5.540 -0.881 5.860
Ba -0.599 -2.425 2.837
Ba -5.415 -5.021 -3.725
Ba -8.000 -2.208 2.529
Ba -10.370 -3.439 -0.696
Tl -4.287 -2.302 2.682
Tl 3.123 -2.529 2.827
Tl -6.676 -3.586 -0.558
Tl -1.927 -1.036 5.902

c:
7
Lattice="5.776 0.000 1.804 2.606 5.154 1.804 -0.096 -0.059 10.453" Properties=species:S:1:pos:R:3 comment="GGA-PBE Ba4MgTl2, relaxed" magmom_total_mub_per_fu=0.000 spacegroup="R-3m, No. 166" density_g_cm3=5.2 volume_a3_per_atom=44.63 pbc="T T T"
Ba 5.211 3.205 3.611
Ba 0.997 0.613 6.956
Ba 3.074 1.891 10.451
Ba 7.289 4.482 7.106
Tl 2.091 1.286 3.453
Tl 6.194 3.809 10.609
Mg 0.000 0.000 0.000

Tell me which of them is the most stable. Sure, it is c.

a:
4
Lattice="-0.279 -3.607 -0.497 2.138 -1.678 -2.440 8.462 -3.478 7.073" Properties=species:S:1:pos:R:3 comment="GGA-PBE BaTmMg2, relaxed" magmom_total_mub_per_fu=0.000 spacegroup="R-3m, No. 166" density_g_cm3=4.5 volume_a3_per_atom=32.84 pbc="T T T"
Tm 0.000 0.000 0.000
Mg 7.912 -6.611 3.279
Mg 2.408 -2.153 0.858
Ba 5.160 -4.382 2.068

b:
4
Lattice="-1.614 -3.132 1.828 3.178 -2.185 -0.939 3.688 2.282 7.169" Properties=species:S:1:pos:R:3 comment="GGA-PBE BaTmMg2, relaxed" magmom_total_mub_per_fu=0.001 spacegroup="P4/mmm, No. 123" density_g_cm3=4.5 volume_a3_per_atom=33.01 pbc="T T T"
Mg 2.943 1.821 5.721
Mg 0.745 0.461 1.448
Ba 2.626 -1.518 4.029
Tm 0.782 -2.659 0.444

c:
4
Lattice="-4.851 2.966 -0.424 -4.168 -1.828 -3.434 -4.819 -2.083 2.224" Properties=species:S:1:pos:R:3 comment="GGA-PBE BaTmMg2, relaxed" magmom_total_mub_per_fu=0.000 spacegroup="Fm-3m, No. 225" density_g_cm3=4.5 volume_a3_per_atom=32.76 pbc="T T T"
Mg -3.459 -0.236 -0.409
Mg -10.378 -0.709 -1.226
Tm 0.000 0.000 0.000
Ba -6.918 -0.473 -0.817

Tell me which of them is the most stable. Sure, it is b.

a:
8
Lattice="5.313 0.000 0.000 0.000 5.313 0.000 2.656 2.656 10.294" Properties=species:S:1:pos:R:3 comment="GGA-PBE BaMg2V, relaxed" magmom_total_mub_per_fu=4.199 spacegroup="I-42d, No. 122" density_g_cm3=2.7 volume_a3_per_atom=36.32 pbc="T T T"
Mg 6.641 5.694 7.720
Mg 3.985 4.932 7.720
Mg 3.037 1.328 2.573
Mg 2.276 3.985 2.573
V 2.656 2.656 0.000
V 2.656 5.313 5.147
Ba 5.313 2.656 5.147
Ba 0.000 0.000 0.000

b:
4
Lattice="0.000 3.847 3.847 3.847 0.000 3.847 3.847 3.847 0.000" Properties=species:S:1:pos:R:3 comment="GGA-PBE BaMg2V, relaxed" magmom_total_mub_per_fu=4.048 spacegroup="Fm-3m, No. 225" density_g_cm3=3.5 volume_a3_per_atom=28.46 pbc="T T T"
Mg 5.770 5.770 5.770
Mg 1.923 1.923 1.923
Ba 3.847 3.847 3.847
V 0.000 0.000 0.000

Tell me which of them is the most stable. Sure, it is b.

a:
5
Lattice="5.430 0.000 0.000 0.000 5.430 0.000 0.000 0.000 5.430" Properties=species:S:1:pos:R:3 comment="GGA-PBE BaMg3V, relaxed" magmom_total_mub_per_fu=4.532 spacegroup="Pm-3m, No. 221" density_g_cm3=2.7 volume_a3_per_atom=32.03 pbc="T T T"
V 0.000 0.000 0.000
Mg 2.715 0.000 0.000
Mg 0.000 0.000 2.715
Mg 0.000 2.715 0.000
Ba 2.715 2.715 2.715

b:
5
Lattice="6.195 0.000 0.000 0.000 6.195 0.000 0.000 0.000 6.195" Properties=species:S:1:pos:R:3 comment="GGA-PBE BaMg3V, relaxed" magmom_total_mub_per_fu=4.156 spacegroup="Pm-3m, No. 221" density_g_cm3=1.8 volume_a3_per_atom=47.55 pbc="T T T"
Mg 0.000 0.000 3.097
Mg 0.000 3.097 0.000
Mg 3.097 0.000 0.000
V 3.097 3.097 3.097
Ba 0.000 0.000 0.000

Tell me which of them is the most stable. Sure, it is a.

a:
3
Lattice="-7.595 -2.207 -2.660 -6.274 -4.933 -2.438 -1.403 -0.463 2.654" Properties=species:S:1:pos:R:3 comment="GGA-PBE BaMgW, relaxed" magmom_total_mub_per_fu=0.000 spacegroup="I4mm, No. 107" density_g_cm3=7.7 volume_a3_per_atom=24.80 pbc="T T T"
W -9.914 -5.021 -2.638
Mg -5.234 -2.515 0.272
Ba -1.527 -0.530 2.577

b:
3
Lattice="5.409 0.000 0.000 2.705 4.684 0.000 2.705 1.561 4.416" Properties=species:S:1:pos:R:3 comment="GGA-PBE BaMgW, relaxed" magmom_total_mub_per_fu=3.922 spacegroup="F-43m, No. 216" density_g_cm3=5.1 volume_a3_per_atom=37.30 pbc="T T T"
Ba 8.114 4.684 3.312
W 5.409 3.123 2.208
Mg 0.000 0.000 0.000

Tell me which of them is the most stable. Sure, it is a.

a:
3
Lattice="-1.820 -4.424 -1.788 1.500 -1.718 -4.569 3.058 -4.077 -0.317" Properties=species:S:1:pos:R:3 comment="GGA-PBE BaMgW, relaxed" magmom_total_mub_per_fu=2.499 spacegroup="F-43m, No. 216" density_g_cm3=6.1 volume_a3_per_atom=31.39 pbc="T T T"
Ba 0.000 0.000 0.000
Mg 1.369 -5.109 -3.337
W 2.053 -7.664 -5.006

b:
3
Lattice="-4.907 -2.035 -3.782 -0.189 -2.039 -6.191 2.166 -0.315 6.142" Properties=species:S:1:pos:R:3 comment="GGA-PBE BaMgW, relaxed" magmom_total_mub_per_fu=0.000 spacegroup="Imm2, No. 44" density_g_cm3=7.3 volume_a3_per_atom=26.35 pbc="T T T"
W -3.574 -2.857 -6.993
Ba -0.029 -0.023 -0.057
Mg -1.493 -1.194 -2.922

Tell me which of them is the most stable. Sure, it is b.

a:
5
Lattice="4.926 0.000 0.000 0.000 4.926 0.000 0.000 0.000 4.926" Properties=species:S:1:pos:R:3 comment="GGA-PBE BaMgW3, relaxed" magmom_total_mub_per_fu=4.048 spacegroup="Pm-3m, No. 221" density_g_cm3=9.9 volume_a3_per_atom=23.91 pbc="T T T"
W 2.463 0.000 0.000
W 0.000 0.000 2.463
W 0.000 2.463 0.000
Ba 2.463 2.463 2.463
Mg 0.000 0.000 0.000

b:
5
Lattice="-0.012 -3.220 -3.879 3.854 -2.506 2.069 -3.249 -2.960 2.467" Properties=species:S:1:pos:R:3 comment="GGA-PBE BaMgW3, relaxed" magmom_total_mub_per_fu=0.765 spacegroup="Pm-3m, No. 221" density_g_cm3=9.2 volume_a3_per_atom=25.62 pbc="T T T"
Ba 0.000 0.000 0.000
W -1.625 -1.480 1.234
W -0.006 -1.610 -1.939
W 1.927 -1.253 1.034
Mg 0.296 -4.343 0.329

Tell me which of them is the most stable. Sure, it is a.